VASP calculation (PBE) on an optimized crystal structure of TlSbRu2.

Lattice parameters (Å, degrees): 4.735 4.735 4.735 60.00 60.00 60.00
Site moments in Bohr magnetons follow the coordinates.
Atoms (fractional coordinates):
Ru1 0.250 0.250 0.250  0.76
Ru2 0.000 0.000 0.000  0.76
Sb1 0.500 0.500 0.500  -0.02
Tl1 0.750 0.750 0.750  -0.01

Properties
As for the space-group type: F-43m. The total magnetization is 1.5 μB/cell. Its formation energy without anion corrections is 709.1 meV/atom.